This record from Alexandria describes a crystal of BeCo2Ir relaxed with PBEsol. The functional is SCAN.

Cell lengths 2.7214, 2.7214, 5.7377 Å; angles 90.00, 90.00, 90.00 degrees
Space group P4mm (No. 99)
Unique sites:
Be1 0.0000 0.0000 0.0000 [1 per cell]
Co1 0.0000 0.0000 0.4631 [1 per cell]
Co2 0.5000 0.5000 0.2164 [1 per cell]
Ir1 0.5000 0.5000 0.7583 [1 per cell]

## Properties
Density of states at the Fermi level = 0.705 states/eV/atom
Formation energy from the elements = -0.232 eV/atom
Electronic total energy = -27.75 eV/atom
M_tot = 4.0 μB/f.u.